Density functional theory data (PBE) for crystalline Sr2P3IrPt12 at its relaxed geometry.

a = 8.2146 Å, b = 8.2146 Å, c = 18.9786 Å
α = 90.00°, β = 90.00°, γ = 120.00°
Space group R-3m (No. 166, hexagonal axes)
Unique sites:
Sr 0.0000 0.0000 0.1117 x6
P 0.0000 0.5000 0.0000 x9
Ir 0.0000 0.0000 0.5000 x3
Pt 0.0048 0.5024 0.1193 x18
Pt 0.0410 0.5205 0.3624 x18

- energy (eV per atom) = -5.8418
- DFT formation energy (eV/f.u.) = -4.21
- total magnetic moment (μB per formula unit) = 0.0


Density functional theory data (PBE) for crystalline CeSiNi3 at its relaxed geometry.

a = 4.795 Å, b = 4.795 Å, c = 15.197 Å
α = 90.00°, β = 90.00°, γ = 90.00°
Space group I-4m2 (No. 119)
Unique sites:
Ce 0.000 0.000 0.135 x4
Si 0.000 0.000 0.500 x2
Si 0.000 0.500 0.750 x2
Ni 0.000 0.241 0.628 x8
Ni 0.000 0.500 0.019 x4

- energy (eV per atom) = -6.0118
- energy relative to the lowest polymorph listed for this composition (eV per formula unit) = 0.93
- total magnetic moment (μB per formula unit) = 0.2
- formation energy from raw total energies (meV per atom) = -272


Density functional theory data (PBE) for crystalline CeSm5In4 at its relaxed geometry.

a = 3.623 Å, b = 3.623 Å, c = 21.899 Å
α = 90.00°, β = 90.00°, γ = 90.00°
Space group P4/mmm (No. 123)
Unique sites:
Ce 0.000 0.000 0.000 x1
Sm 0.500 0.500 0.110 x2
Sm 0.500 0.500 0.305 x2
Sm 0.500 0.500 0.500 x1
In 0.000 0.000 0.206 x2
In 0.000 0.000 0.402 x2

- energy (eV per atom) = -4.4218
- DFT formation energy (eV/f.u.) = -3.73
- energy relative to the lowest polymorph listed for this composition (eV per formula unit) = 0.00
- total magnetic moment (μB per formula unit) = 0.3


Density functional theory data (PBE) for crystalline PIrSe3 at its relaxed geometry.

a = 4.683 Å, b = 4.683 Å, c = 4.683 Å
α = 90.00°, β = 90.00°, γ = 90.00°
Space group Pm-3m (No. 221)
Unique sites:
P 0.000 0.000 0.000 x1
Ir 0.500 0.500 0.500 x1
Se 0.000 0.000 0.500 x3

- energy (eV per atom) = -3.7807
- energy relative to the lowest polymorph listed for this composition (eV per formula unit) = 1.40
- total magnetic moment (μB per formula unit) = 0.0
- formation energy from raw total energies (meV per atom) = 1164


Density functional theory data (PBE) for crystalline Cd2SnRu at its relaxed geometry.

a = 2.9603 Å, b = 2.9603 Å, c = 34.7288 Å
α = 90.00°, β = 90.00°, γ = 120.00°
Space group R-3m (No. 166, hexagonal axes)
Unique sites:
Cd 0.0000 0.0000 0.0792 x6
Sn 0.0000 0.0000 0.5000 x3
Ru 0.0000 0.0000 0.0000 x3

- energy (eV per atom) = -3.1878
- DFT formation energy (eV/f.u.) = 2.36
- total magnetic moment (μB per formula unit) = 1.2


Density functional theory data (PBE) for crystalline HfMo at its relaxed geometry.

a = 7.430 Å, b = 7.430 Å, c = 7.430 Å
α = 90.00°, β = 90.00°, γ = 90.00°
Space group Pm-3n (No. 223)
Unique sites:
Hf 0.000 0.250 0.500 x6
Mo 0.000 0.500 0.250 x6

- energy (eV per atom) = -7.8508
- DFT formation energy (eV/f.u.) = 5.08
- energy relative to the lowest polymorph listed for this composition (eV per formula unit) = 5.30
- total magnetic moment (μB per formula unit) = 1.9


Density functional theory data (PBE) for crystalline ZrBOF2 at its relaxed geometry.

a = 4.620 Å, b = 4.620 Å, c = 2.645 Å
α = 90.00°, β = 90.00°, γ = 90.00°
Space group P4/mmm (No. 123)
Unique sites:
Zr 0.000 0.000 0.000 x1
B 0.500 0.500 0.500 x1
O 0.500 0.500 0.000 x1
F 0.000 0.500 0.500 x2

- energy (eV per atom) = -6.0682
- energy relative to the lowest polymorph listed for this composition (eV per formula unit) = 1.22
- total magnetic moment (μB per formula unit) = 0.9
- formation energy from raw total energies (meV per atom) = -1283


Density functional theory data (PBE) for crystalline Ga8Cu3Tc2 at its relaxed geometry.

a = 11.050 Å, b = 7.849 Å, c = 5.011 Å
α = 90.00°, β = 99.83°, γ = 90.00°
Space group C2/m (No. 12)
Unique sites:
Ga 0.080 0.000 0.337 x4
Ga 0.124 0.214 0.918 x8
Ga 0.193 0.500 0.336 x4
Cu 0.000 0.340 0.500 x4
Cu 0.000 0.500 0.000 x2
Tc 0.216 0.500 0.836 x4

- energy (eV per atom) = -4.4557
- DFT formation energy (eV/f.u.) = -0.69
- total magnetic moment (μB per formula unit) = 0.0


Density functional theory data (PBE) for crystalline BeNb2ZnCu at its relaxed geometry.

a = 4.700 Å, b = 4.700 Å, c = 3.915 Å
α = 90.00°, β = 90.00°, γ = 90.00°
Space group P4/mmm (No. 123)
Unique sites:
Be 0.000 0.000 0.000 x1
Nb 0.000 0.500 0.500 x2
Zn 0.500 0.500 0.000 x1
Cu 0.000 0.000 0.500 x1

- energy (eV per atom) = -4.9845
- DFT formation energy (eV/f.u.) = 4.31
- total magnetic moment (μB per formula unit) = 0.0


Density functional theory data (PBE) for crystalline La2Ce2Sb2C at its relaxed geometry.

a = 4.846 Å, b = 4.846 Å, c = 16.929 Å
α = 90.00°, β = 90.00°, γ = 90.00°
Space group I4/mmm (No. 139)
Unique sites:
La 0.000 0.000 0.164 x4
Ce 0.000 0.500 0.000 x4
Sb 0.000 0.000 0.362 x4
C 0.000 0.000 0.000 x2

- energy (eV per atom) = -6.4059
- total magnetic moment (μB per formula unit) = 1.0
- formation energy from raw total energies (meV per atom) = -807


Density functional theory data (PBE) for crystalline Li2GePd2 at its relaxed geometry.

a = 7.319 Å, b = 4.243 Å, c = 5.177 Å
α = 90.00°, β = 118.00°, γ = 90.00°
Space group C2/m (No. 12)
Unique sites:
Li 0.197 0.000 0.089 x4
Ge 0.000 0.000 0.500 x2
Pd 0.106 0.500 0.317 x4

- energy (eV per atom) = -4.3163
- DFT formation energy (eV/f.u.) = -2.75
- energy relative to the lowest polymorph listed for this composition (eV per formula unit) = 0.00
- total magnetic moment (μB per formula unit) = 0.0


Density functional theory data (PBE) for crystalline Mg3Sn at its relaxed geometry.

a = 4.488 Å, b = 4.488 Å, c = 4.488 Å
α = 90.00°, β = 90.00°, γ = 90.00°
Space group Pm-3m (No. 221)
Unique sites:
Mg 0.000 0.000 0.500 x3
Sn 0.500 0.500 0.500 x1

- energy (eV per atom) = -2.3205
- DFT formation energy (eV/f.u.) = -0.50
- total magnetic moment (μB per formula unit) = 0.0